First-principles (PBE-GGA) data for a relaxed SrCaLaEr crystal, as listed in the Alexandria database. Values from VASP.

As for the volume: 158 Å³ per cell. The space group is F-43m, No. 216. The calculation puts the spin magnetization at 0.0 μB per formula unit. The energy relative to the elements is 0.179 eV/atom. As for the crystal system: cubic.

Cell and atoms, written as Quantum ESPRESSO input:
```
&SYSTEM
  ibrav = 0, nat = 4, ntyp = 4
/
ATOMIC_SPECIES
Sr 87.62 Sr.upf
Ca 40.08 Ca.upf
La 138.91 La.upf
Er 167.26 Er.upf
ATOMIC_POSITIONS crystal
Sr 0.000 0.000 0.000
Ca 0.750 0.750 0.750
La 0.500 0.500 0.500
Er 0.250 0.250 0.250
CELL_PARAMETERS angstrom
0.000 4.290 4.290
4.290 0.000 4.290
4.290 4.290 0.000
```



First-principles (PBE-GGA) data for a relaxed Cd12In16Ge crystal, as listed in the Alexandria database. Values from VASP.

As for the volume: 734 Å³ per cell. The space group is Cm, No. 8. The calculation puts the spin magnetization at 0.0 μB per formula unit. The energy relative to the elements is 0.038 eV/atom. As for the crystal system: monoclinic.

Cell and atoms, written as Quantum ESPRESSO input:
```
&SYSTEM
  ibrav = 0, nat = 29, ntyp = 3
/
ATOMIC_SPECIES
Cd 112.41 Cd.upf
In 114.82 In.upf
Ge 72.64 Ge.upf
ATOMIC_POSITIONS crystal
Cd 0.000 0.000 0.000
Cd 0.225 0.409 0.803
Cd 0.229 0.601 0.611
Cd 0.409 0.225 0.803
Cd 0.413 0.601 0.418
Cd 0.422 0.790 0.989
Cd 0.601 0.229 0.611
Cd 0.601 0.413 0.418
Cd 0.790 0.422 0.989
Cd 0.792 0.979 0.173
Cd 0.794 0.794 0.621
Cd 0.979 0.792 0.173
In 0.005 0.005 0.514
In 0.014 0.327 0.208
In 0.196 0.604 0.107
In 0.197 0.914 0.805
In 0.264 0.264 0.463
In 0.295 0.886 0.489
In 0.327 0.014 0.208
In 0.593 0.593 0.140
In 0.602 0.936 0.796
In 0.604 0.196 0.107
In 0.604 0.604 0.800
In 0.611 0.920 0.395
In 0.886 0.295 0.489
In 0.914 0.197 0.805
In 0.920 0.611 0.395
In 0.936 0.602 0.796
Ge 0.303 0.303 0.096
CELL_PARAMETERS angstrom
5.677 -8.086 0.000
5.677 8.086 0.000
-5.599 0.000 7.993
```



First-principles (PBE-GGA) data for a relaxed LaPmNi4H6 crystal, as listed in the Alexandria database. Values from VASP.

For the uncorrected energy, the calculation gives -4.75 eV per atom. As for the volume: 127 Å³ per cell. The space group is P6/mmm, No. 191. The calculation puts the spin magnetization at 0.0 μB per formula unit. As for the crystal system: hexagonal.

Cell and atoms, written as Quantum ESPRESSO input:
```
&SYSTEM
  ibrav = 0, nat = 12, ntyp = 4
/
ATOMIC_SPECIES
La 138.91 La.upf
Pm 145.00 Pm.upf
Ni 58.69 Ni.upf
H 1.01 H.upf
ATOMIC_POSITIONS crystal
La 0.000 0.000 0.000
Pm 0.000 0.000 0.500
Ni 0.333 0.667 0.306
Ni 0.333 0.667 0.694
Ni 0.667 0.333 0.306
Ni 0.667 0.333 0.694
H 0.000 0.500 0.172
H 0.000 0.500 0.828
H 0.500 0.000 0.172
H 0.500 0.000 0.828
H 0.500 0.500 0.172
H 0.500 0.500 0.828
CELL_PARAMETERS angstrom
4.559 0.000 0.000
-2.279 3.948 0.000
0.000 0.000 7.055
```



First-principles (PBE-GGA) data for a relaxed Ca2SeCl crystal, as listed in the Alexandria database. Values from VASP.

As for the volume: 100 Å³ per cell. The space group is P4/mmm, No. 123. The calculation puts the energy above the lowest structure with this stoichiometry at 0 meV per atom. The calculation puts the spin magnetization at 0.0 μB per formula unit. As for the crystal system: tetragonal. The raw formation energy comes out at -1.7594 eV/atom.

Cell and atoms, written as Quantum ESPRESSO input:
```
&SYSTEM
  ibrav = 0, nat = 4, ntyp = 3
/
ATOMIC_SPECIES
Ca 40.08 Ca.upf
Se 78.96 Se.upf
Cl 35.45 Cl.upf
ATOMIC_POSITIONS crystal
Ca 0.000 0.000 0.000
Ca 0.500 0.500 0.500
Se 0.000 0.000 0.500
Cl 0.500 0.500 0.000
CELL_PARAMETERS angstrom
4.137 0.000 0.000
0.000 4.137 0.000
0.000 0.000 5.819
```



First-principles (PBE-GGA) data for a relaxed TaBe2Ge2 crystal, as listed in the Alexandria database. Values from VASP.

As for the volume: 135 Å³ per cell. The space group is P4/mbm, No. 127. The calculation puts the spin magnetization at 0.0 μB per formula unit. The energy relative to the elements is 0.208 eV/atom. As for the crystal system: tetragonal.

Cell and atoms, written as Quantum ESPRESSO input:
```
&SYSTEM
  ibrav = 0, nat = 10, ntyp = 3
/
ATOMIC_SPECIES
Ta 180.95 Ta.upf
Be 9.01 Be.upf
Ge 72.64 Ge.upf
ATOMIC_POSITIONS crystal
Ta 0.000 0.000 0.000
Ta 0.500 0.500 0.000
Be 0.120 0.380 0.000
Be 0.380 0.880 0.000
Be 0.620 0.120 0.000
Be 0.880 0.620 0.000
Ge 0.169 0.669 0.500
Ge 0.331 0.169 0.500
Ge 0.669 0.831 0.500
Ge 0.831 0.331 0.500
CELL_PARAMETERS angstrom
6.454 0.000 0.000
0.000 6.454 0.000
0.000 0.000 3.238
```



First-principles (PBE-GGA) data for a relaxed PuCdN2 crystal, as listed in the Alexandria database. Values from VASP.

As for the volume: 69 Å³ per cell. The space group is R-3m, No. 166. The calculation puts the spin magnetization at 4.0 μB per formula unit. As for the crystal system: trigonal. The raw formation energy comes out at -0.4880 eV/atom.

Cell and atoms, written as Quantum ESPRESSO input:
```
&SYSTEM
  ibrav = 0, nat = 4, ntyp = 3
/
ATOMIC_SPECIES
Pu 244.00 Pu.upf
Cd 112.41 Cd.upf
N 14.01 N.upf
ATOMIC_POSITIONS crystal
Pu 0.000 0.000 0.000
Cd 0.500 0.500 0.500
N 0.387 0.387 0.387
N 0.613 0.613 0.613
CELL_PARAMETERS angstrom
1.799 1.038 6.163
-1.799 1.038 6.163
0.000 -2.077 6.163
```



First-principles (PBE-GGA) data for a relaxed HoAlIrO6 crystal, as listed in the Alexandria database. Values from VASP.

As for the volume: 201 Å³ per cell. The space group is P-31c, No. 163. The calculation puts the spin magnetization at 0.0 μB per formula unit. As for the crystal system: trigonal. The raw formation energy comes out at -1.9000 eV/atom.

Cell and atoms, written as Quantum ESPRESSO input:
```
&SYSTEM
  ibrav = 0, nat = 18, ntyp = 4
/
ATOMIC_SPECIES
Ho 164.93 Ho.upf
Al 26.98 Al.upf
Ir 192.22 Ir.upf
O 16.00 O.upf
ATOMIC_POSITIONS crystal
Ho 0.333 0.667 0.250
Ho 0.667 0.333 0.750
Al 0.000 0.000 0.000
Al 0.000 0.000 0.500
Ir 0.333 0.667 0.750
Ir 0.667 0.333 0.250
O 0.041 0.340 0.618
O 0.041 0.701 0.882
O 0.299 0.340 0.882
O 0.299 0.959 0.618
O 0.340 0.041 0.118
O 0.340 0.299 0.382
O 0.660 0.701 0.618
O 0.660 0.959 0.882
O 0.701 0.041 0.382
O 0.701 0.660 0.118
O 0.959 0.299 0.118
O 0.959 0.660 0.382
CELL_PARAMETERS angstrom
5.204 0.000 0.000
-2.602 4.507 0.000
0.000 0.000 8.557
```



First-principles (PBE-GGA) data for a relaxed LiMn2Os crystal, as listed in the Alexandria database. Values from VASP.

As for the volume: 108 Å³ per cell. The space group is I-42d, No. 122. The calculation puts the spin magnetization at 0.0 μB per formula unit. The energy relative to the elements is 0.799 eV/atom. As for the crystal system: tetragonal.

Cell and atoms, written as Quantum ESPRESSO input:
```
&SYSTEM
  ibrav = 0, nat = 8, ntyp = 3
/
ATOMIC_SPECIES
Li 6.94 Li.upf
Mn 54.94 Mn.upf
Os 190.23 Os.upf
ATOMIC_POSITIONS crystal
Li 0.000 0.000 0.000
Li 0.750 0.250 0.500
Mn 0.154 0.125 0.529
Mn 0.375 0.846 0.971
Mn 0.596 0.625 0.471
Mn 0.875 0.404 0.029
Os 0.250 0.750 0.500
Os 0.500 0.500 0.000
CELL_PARAMETERS angstrom
-3.322 3.322 2.449
3.322 -3.322 2.449
3.322 3.322 -2.449
```



Number 1: DOS(E_F) 6.2 states/eV per cell. Number 2: DOS(E_F) 10.4 states/eV per cell. Number 3: DOS(E_F) 3.9 states/eV per cell. Number 4: DOS(E_F) 1.5 states/eV per cell. Number 5: DOS(E_F) 4.3 states/eV per cell. Number 6: DOS(E_F) 6.3 states/eV per cell. Number 7: DOS(E_F) 13.1 states/eV per cell. Number 8: DOS(E_F) 14.2 states/eV per cell.